[1]
Density functional theory data (PBE) for DyLuPd after structural relaxation.

The structure in extended XYZ format:
```
12
Lattice="7.0208 0.0000 0.0000 0.0000 4.8158 0.0000 0.0000 0.0000 8.6472" Properties=species:S:1:pos:R:3 pbc="T T T"
Dy 0.1095 1.2040 1.4967
Dy 3.4009 3.6119 5.8203
Dy 3.6199 1.2040 2.8269
Dy 6.9113 3.6119 7.1505
Lu 1.0029 1.2040 5.0107
Lu 2.5075 3.6119 0.6871
Lu 4.5133 1.2040 7.9601
Lu 6.0179 3.6119 3.6365
Pd 1.7172 1.2040 7.8362
Pd 1.7932 3.6119 3.5126
Pd 5.2276 1.2040 5.1346
Pd 5.3036 3.6119 0.8110
```

Properties
**SG**: Pnma
**ΔE to the lowest computed polymorph**: 0.0 meV/atom
**E**: -5.43 eV/atom
**Mass density**: 10.084 Mg/m³

[2]
Density functional theory data (PBE) for DyLuPd after structural relaxation.

The structure in extended XYZ format:
```
3
Lattice="0.0000 3.4034 3.4034 3.4034 0.0000 3.4034 3.4034 3.4034 0.0000" Properties=species:S:1:pos:R:3 pbc="T T T"
Dy 0.0000 0.0000 0.0000
Lu 3.4034 3.4034 3.4034
Pd 1.7017 1.7017 1.7017
```

Properties
**SG**: F-43m
**ΔE to the lowest computed polymorph**: 150.2 meV/atom
**E**: -5.28 eV/atom
**Mass density**: 9.348 Mg/m³

[3]
Density functional theory data (PBE) for DyLuPd after structural relaxation.

The structure in extended XYZ format:
```
12
Lattice="6.9716 0.0000 0.0000 0.0000 4.8245 0.0000 0.0000 0.0000 8.7213" Properties=species:S:1:pos:R:3 pbc="T T T"
Dy 1.0272 1.2061 0.7042
Dy 2.4586 3.6184 5.0648
Dy 4.5130 1.2061 3.6565
Dy 5.9444 3.6184 8.0172
Lu 0.0989 1.2061 5.8574
Lu 3.3869 3.6184 1.4967
Lu 3.5847 1.2061 7.2246
Lu 6.8727 3.6184 2.8639
Pd 1.6235 1.2061 3.5252
Pd 1.8623 3.6184 7.8859
Pd 5.1093 1.2061 0.8354
Pd 5.3481 3.6184 5.1961
```

Properties
**SG**: Pnma
**ΔE to the lowest computed polymorph**: 17.7 meV/atom
**E**: -5.41 eV/atom
**Mass density**: 10.051 Mg/m³

[4]
Density functional theory data (PBE) for DyLu6Pd2S2 after structural relaxation.

The structure in extended XYZ format:
```
11
Lattice="-1.8914 7.3724 4.5441 1.8914 -7.3724 4.5441 1.8914 7.3724 -4.5441" Properties=species:S:1:pos:R:3 pbc="T T T"
Dy 0.0000 0.0000 0.0000
Lu 1.8914 2.6763 -1.0411
Lu 1.8914 -1.9483 2.3415
Lu 1.8914 1.9483 2.3415
Lu 1.8914 5.6440 0.8829
Lu 0.0000 4.6960 3.5030
Lu 0.0000 1.7283 5.4270
Pd 0.0000 3.5482 0.7946
Pd 0.0000 11.1966 0.7946
S 0.0000 0.0000 3.1862
S 0.0000 7.3724 2.2560
```

Properties
**SG**: Imm2
**E**: -5.60 eV/atom
**Mass density**: 9.757 Mg/m³

[5]
Density functional theory data (PBE) for Dy5Lu2Pd2S2 after structural relaxation.

The structure in extended XYZ format:
```
11
Lattice="-1.9191 7.4613 4.5938 1.9191 -7.4613 4.5938 1.9191 7.4613 -4.5938" Properties=species:S:1:pos:R:3 pbc="T T T"
Dy 0.0000 0.0000 0.0000
Dy 1.9191 -1.9735 2.3720
Dy 1.9191 1.9735 2.3720
Dy 1.9191 5.7282 0.8926
Dy 0.0000 1.7331 5.4864
Lu 1.9191 2.6994 -1.0496
Lu 0.0000 4.7618 3.5442
Pd 0.0000 3.5687 0.7665
Pd 0.0000 11.3538 0.7665
S 0.0000 0.0000 3.1465
S 0.0000 7.4613 2.3401
```

Properties
**SG**: Imm2
**E**: -5.63 eV/atom
**Mass density**: 9.084 Mg/m³

[6]
Density functional theory data (PBE) for Dy3Lu4Pd2S2 after structural relaxation.

The structure in extended XYZ format:
```
11
Lattice="-1.9107 7.4027 4.5608 1.9107 -7.4027 4.5608 1.9107 7.4027 -4.5608" Properties=species:S:1:pos:R:3 pbc="T T T"
Dy 0.0000 0.0000 0.0000
Dy 0.0000 5.4235 2.1905
Dy 0.0000 9.3818 2.1905
Lu 1.9107 5.6671 -0.8970
Lu 1.9107 2.6629 1.0442
Lu 0.0000 1.7356 3.6638
Lu 0.0000 4.7398 5.6050
Pd 1.9107 -3.8132 3.8055
Pd 1.9107 3.8132 3.8055
S 1.9107 0.0000 2.2996
S 0.0000 0.0000 5.9015
```

Properties
**SG**: Imm2
**E**: -5.61 eV/atom
**Mass density**: 9.424 Mg/m³

[7]
Density functional theory data (PBE) for Dy3Lu4Pd2Se2 after structural relaxation.

The structure in extended XYZ format:
```
11
Lattice="-1.9314 7.5226 4.6290 1.9314 -7.5226 4.6290 1.9314 7.5226 -4.6290" Properties=species:S:1:pos:R:3 pbc="T T T"
Dy 0.0000 0.0000 0.0000
Dy 0.0000 5.4332 2.3168
Dy 0.0000 9.6121 2.3168
Lu 1.9314 5.6782 -0.8456
Lu 1.9314 2.7140 1.1109
Lu 0.0000 1.8445 3.7834
Lu 0.0000 4.8087 5.7399
Pd 1.9314 -3.8900 3.9358
Pd 1.9314 3.8900 3.9358
Se 1.9314 0.0000 2.4038
Se 0.0000 0.0000 6.0553
```

Properties
**SG**: Imm2
**E**: -5.46 eV/atom
**Mass density**: 9.618 Mg/m³

[8]
Density functional theory data (PBE) for DyLu6Pd2Se2 after structural relaxation.

The structure in extended XYZ format:
```
11
Lattice="-1.9153 7.4719 4.6108 1.9153 -7.4719 4.6108 1.9153 7.4719 -4.6108" Properties=species:S:1:pos:R:3 pbc="T T T"
Dy 0.0000 0.0000 0.0000
Lu 1.9153 2.7177 -1.1204
Lu 1.9153 -2.0598 2.2754
Lu 1.9153 2.0598 2.2754
Lu 1.9153 5.6369 0.8211
Lu 0.0000 4.7542 3.4904
Lu 0.0000 1.8350 5.4319
Pd 0.0000 3.5738 0.7099
Pd 0.0000 11.3701 0.7099
Se 0.0000 0.0000 3.1703
Se 0.0000 7.4719 2.2142
```

Properties
**SG**: Imm2
**E**: -5.45 eV/atom
**Mass density**: 9.959 Mg/m³